HfThTc2 | PBE | optimized geometry

Output
crystal system = trigonal
VASP energy = -37.53 eV/cell
N(E_F) = 3.39 states/eV per cell

Lattice parameters (Å, degrees): 3.357 3.357 8.574 78.71 78.71 60.00
Element x y z (fractional)
Tc: 0.253 0.253 0.242
Tc: 0.747 0.747 0.758
Hf: 0.000 0.000 0.000
Th: 0.500 0.500 0.500